Version one
# TcSe2Cl

A relaxed structure of TcSe2Cl (PBE, the Alexandria database).

```
TcSe2Cl
1.0
1.5474 -2.4860 0.0000
1.5474 2.4860 0.0000
0.0000 0.0000 10.5245
Tc Se Cl
1 2 1
direct
0.0000 0.0000 0.0000
0.5000 0.5000 0.1935
0.5000 0.5000 0.8065
0.0000 0.0000 0.5000
```

---

Version two
# TcSe2Cl

A relaxed structure of TcSe2Cl (PBE, the Alexandria database).

```
TcSe2Cl
1.0
3.5171 -1.6613 0.0000
3.5171 1.6613 0.0000
-1.8130 0.0000 7.6316
Tc Se Cl
1 2 1
direct
0.0000 0.0000 0.0000
0.3514 0.3514 0.1744
0.6486 0.6486 0.8256
0.5000 0.5000 0.5000
```

---

The relative energies come out as version one 433; version two 0, with values in meV/atom.

---

Version one
# La2CrCl

A relaxed structure of La2CrCl (PBE, the Alexandria database).

```
La2CrCl
1.0
-2.2264 3.0968 4.0739
2.2264 -3.0968 4.0739
2.2264 3.0968 -4.0739
La Cr Cl
2 1 1
direct
0.2425 0.2425 0.0000
0.7575 0.7575 0.0000
0.5000 0.0000 0.5000
0.0000 0.5000 0.5000
```

---

Version two
# La2CrCl

A relaxed structure of La2CrCl (PBE, the Alexandria database).

```
La2CrCl
1.0
2.0025 1.1561 8.1921
-2.0025 1.1561 8.1921
0.0000 -2.3123 8.1921
La Cr Cl
2 1 1
direct
0.2452 0.2452 0.2452
0.7548 0.7548 0.7548
0.5000 0.5000 0.5000
0.0000 0.0000 0.0000
```

---

The relative energies come out as version one 234; version two 0, with values in meV/atom.

---

Version one
# TaRhCl2

A relaxed structure of TaRhCl2 (PBE, the Alexandria database).

```
TaRhCl2
1.0
3.2160 0.0000 0.0000
0.0000 3.2160 0.0000
0.0000 0.0000 8.0506
Ta Rh Cl
1 1 2
direct
0.0000 0.0000 0.0000
0.5000 0.5000 0.8397
0.0000 0.0000 0.6523
0.5000 0.5000 0.2316
```

---

Version two
# TaRhCl2

A relaxed structure of TaRhCl2 (PBE, the Alexandria database).

```
TaRhCl2
1.0
-2.9269 2.9269 4.6681
2.9269 -2.9269 4.6681
2.9269 2.9269 -4.6681
Ta Rh Cl
2 2 4
direct
0.0000 0.0000 0.0000
0.7500 0.2500 0.5000
0.2500 0.7500 0.5000
0.5000 0.5000 0.0000
0.1252 0.6250 0.0002
0.3750 0.3752 0.5002
0.6248 0.1250 0.9998
0.8750 0.8748 0.4998
```

---

The relative energies come out as version one 0; version two 962, with values in meV/atom.

---

Version one
# Ta3Tc2

A relaxed structure of Ta3Tc2 (PBE, the Alexandria database).

```
Ta3Tc2
1.0
3.1974 0.0000 0.0000
0.0000 3.1974 0.0000
0.0000 0.0000 16.2457
Ta Tc
6 4
direct
0.0000 0.0000 0.0000
0.0000 0.0000 0.1961
0.0000 0.0000 0.3918
0.0000 0.0000 0.6082
0.0000 0.0000 0.8039
0.5000 0.5000 0.5000
0.5000 0.5000 0.0981
0.5000 0.5000 0.2942
0.5000 0.5000 0.7058
0.5000 0.5000 0.9019
```

---

Version two
# Ta3Tc2

A relaxed structure of Ta3Tc2 (PBE, the Alexandria database).

```
Ta3Tc2
1.0
1.5148 0.8746 10.7274
-1.5148 0.8746 10.7274
0.0000 -1.7491 10.7274
Ta Tc
3 2
direct
0.0000 0.0000 0.0000
0.2029 0.2029 0.2029
0.7971 0.7971 0.7971
0.3985 0.3985 0.3985
0.6015 0.6015 0.6015
```

---

The relative energies come out as version one 0; version two 425, with values in meV/atom.

---

Version one
# KTa2Mo

A relaxed structure of KTa2Mo (PBE, the Alexandria database).

```
KTa2Mo
1.0
2.8755 0.0000 0.0000
0.0000 4.3588 0.0000
-1.0750 0.0000 8.0541
K Ta Mo
1 2 1
direct
0.0000 0.0000 0.0000
0.2293 0.5000 0.6499
0.7707 0.5000 0.3501
0.5000 0.0000 0.5000
```

---

Version two
# KTa2Mo

A relaxed structure of KTa2Mo (PBE, the Alexandria database).

```
KTa2Mo
1.0
-1.4874 2.8113 5.1757
1.4874 -2.8113 5.1757
1.4874 2.8113 -5.1757
K Ta Mo
1 2 1
direct
0.0000 0.0000 0.0000
0.4741 0.4741 0.0000
0.7057 0.2057 0.5000
0.2740 0.7740 0.5000
```

---

The relative energies come out as version one 0; version two 466, with values in meV/atom.

---

Version one
# TaReRh2

A relaxed structure of TaReRh2 (PBE, the Alexandria database).

```
TaReRh2
1.0
1.3967 0.8064 9.0548
-1.3967 0.8064 9.0548
0.0000 -1.6128 9.0548
Ta Re Rh
1 1 2
direct
0.0000 0.0000 0.0000
0.5000 0.5000 0.5000
0.2476 0.2476 0.2476
0.7524 0.7524 0.7524
```

---

Version two
# TaReRh2

A relaxed structure of TaReRh2 (PBE, the Alexandria database).

```
TaReRh2
1.0
-1.9591 1.9591 3.9444
1.9591 -1.9591 3.9444
1.9591 1.9591 -3.9444
Ta Re Rh
1 1 2
direct
0.0000 0.0000 0.0000
0.5000 0.5000 0.0000
0.2500 0.7500 0.5000
0.7500 0.2500 0.5000
```

---

The relative energies come out as version one 226; version two 0, with values in meV/atom.